(i)
Below is an optimized crystal structure of Tb2ZnGe3, with properties calculated at the PBE level.

Cell lengths 5.828, 5.828, 8.369 Å; angles 109.12, 109.12, 93.40 degrees
Element x y z (fractional)
Ge (0.173, 0.658, 0.831)
Tb (0.757, 0.757, 0.000)
Ge (0.827, 0.342, 0.169)
Ge (0.830, 0.830, 0.660)
Ge (0.342, 0.827, 0.169)
Tb (0.250, 0.750, 0.500)
Zn (0.666, 0.666, 0.332)
Ge (0.658, 0.173, 0.831)
Tb (0.243, 0.243, 0.000)
Zn (0.334, 0.334, 0.668)
Tb (0.750, 0.250, 0.500)
Ge (0.170, 0.170, 0.340)

---

(ii)
Below is an optimized crystal structure of Tb2ZnGe3, with properties calculated at the PBE level.

Cell lengths 3.993, 4.321, 7.247 Å; angles 90.00, 90.00, 90.00 degrees
Element x y z (fractional)
Ge (0.500, 0.000, 0.835)
Ge (0.500, 0.500, 0.661)
Zn (0.500, 0.500, 0.328)
Ge (0.500, 0.000, 0.176)
Tb (0.000, 0.500, 0.993)
Tb (0.000, 0.000, 0.506)

---

What is the most stable structure shown above? It is (ii).